# 1
Li2AsPt, single point on PBEsol structure, DFT meta-GGA SCAN; D(E_F) = 1.12 states/eV/f.u.; SG = Cmmm; energy relative to the elements = -0.649 eV/atom; E_tot = -24.44 eV/atom
1.0
2.780 0.000 0.000
0.000 4.681 -0.002
0.000 -1.869 4.292
As Li Pt
1 2 1
Direct
0.500 0.500 0.500
0.000 0.500 0.000
0.000 0.000 0.500
0.500 0.000 0.000


# 2
LiAsPt, single point on PBEsol structure, DFT meta-GGA SCAN; D(E_F) = 1.39 states/eV/f.u.; SG = F-43m; energy relative to the elements = -0.659 eV/atom; E_tot = -31.58 eV/atom
1.0
-0.182 3.148 -2.633
-2.494 -0.190 -3.259
-3.361 2.357 -0.154
Pt As Li
1 1 1
Direct
0.250 0.250 0.250
0.000 0.000 0.000
0.500 0.500 0.500


# 3
RbLi2As, single point on PBEsol structure, DFT meta-GGA SCAN; SG = I4_1/amd; energy relative to the elements = -0.512 eV/atom; E_tot = -11.94 eV/atom
1.0
5.618 0.000 0.000
0.000 5.618 0.000
-2.809 -2.809 7.746
Li Rb As
4 2 2
Direct
0.625 0.375 0.250
0.625 0.375 0.750
0.125 0.375 0.750
0.625 0.875 0.250
0.000 0.000 0.000
0.250 0.750 0.500
0.500 0.500 0.000
0.750 0.250 0.500


# 4
RbLi3As, single point on PBEsol structure, DFT meta-GGA SCAN; D(E_F) = 1.83 states/eV/f.u.; SG = Pm-3m; energy relative to the elements = -0.405 eV/atom; E_tot = -10.03 eV/atom
1.0
-0.681 3.309 3.741
-1.241 -3.769 3.108
4.838 -0.501 1.324
As Li Rb
1 3 1
Direct
0.000 0.000 0.000
0.500 0.000 0.000
0.000 0.500 0.000
0.000 0.000 0.500
0.500 0.500 0.500


# 5
Li2ReAs, single point on PBEsol structure, DFT meta-GGA SCAN; D(E_F) = 1.46 states/eV/f.u.; SG = P4/mmm; energy relative to the elements = -0.022 eV/atom; E_tot = -24.04 eV/atom
1.0
-1.541 2.012 -0.523
-1.440 -0.564 2.074
4.987 5.081 4.844
As Re Li
1 1 2
Direct
0.500 0.500 0.500
0.500 0.500 0.000
0.000 0.000 0.254
0.000 0.000 0.746


# 6
Li2ReAs, single point on PBEsol structure, DFT meta-GGA SCAN; D(E_F) = 1.93 states/eV/f.u.; SG = P4/mmm; energy relative to the elements = 0.353 eV/atom; E_tot = -23.66 eV/atom
1.0
2.613 0.000 0.000
0.000 4.505 0.000
0.000 0.000 4.505
As Re Li
1 1 2
Direct
0.500 0.000 0.000
0.500 0.500 0.500
0.000 0.500 0.000
0.000 0.000 0.500


# 7
LiRe2As, single point on PBEsol structure, DFT meta-GGA SCAN; D(E_F) = 2.97 states/eV/f.u.; SG = C2/m; energy relative to the elements = 0.393 eV/atom; E_tot = -40.80 eV/atom
1.0
-1.264 0.574 -2.311
-0.317 -4.626 -1.001
-3.159 1.840 3.770
Re Li As
2 1 1
Direct
0.000 0.000 0.500
0.500 0.500 0.500
0.500 0.500 0.000
0.000 0.000 0.000


# 8
LiRe3As, single point on PBEsol structure, DFT meta-GGA SCAN; D(E_F) = 1.90 states/eV/f.u.; SG = Pm-3m; energy relative to the elements = 1.664 eV/atom; E_tot = -45.51 eV/atom
1.0
4.525 0.000 0.000
0.000 4.525 0.000
0.000 0.000 4.525
Re As Li
3 1 1
Direct
0.000 0.500 0.000
0.000 0.000 0.500
0.500 0.000 0.000
0.000 0.000 0.000
0.500 0.500 0.500